First-principles (GGA-PBE) data for a geometry-optimized SmMg4Pd15 structure, as listed in Alexandria.

ΔH_f (0 K) = -0.531 eV/atom
Mass density = 9.47 g/cm3
Fermi-level density of states = 22.920 states/eV per cell

a b c (Å): 4.031 4.031 19.895
angles (deg): 90.00 90.00 90.00
Space group P4/mmm (No. 123)
One atom of each set of equivalent atoms:
1 Sm 0.000 0.000 0.000 (multiplicity 1)
2 Mg 0.000 0.000 0.208 (multiplicity 2)
3 Mg 0.000 0.000 0.402 (multiplicity 2)
4 Pd 0.000 0.500 0.109 (multiplicity 4)
5 Pd 0.000 0.500 0.305 (multiplicity 4)
6 Pd 0.000 0.500 0.500 (multiplicity 2)
7 Pd 0.500 0.500 0.000 (multiplicity 1)
8 Pd 0.500 0.500 0.207 (multiplicity 2)
9 Pd 0.500 0.500 0.403 (multiplicity 2)

First-principles (GGA-PBE) data for a geometry-optimized Sm3Mg4Pd4 structure, as listed in Alexandria.

ΔH_f (0 K) = -0.638 eV/atom
Mass density = 6.69 g/cm3
Fermi-level density of states = 15.400 states/eV per cell

a b c (Å): 4.080 8.043 14.746
angles (deg): 90.00 90.00 90.00
Space group Immm (No. 71)
One atom of each set of equivalent atoms:
1 Sm 0.000 0.000 0.000 (multiplicity 2)
2 Sm 0.000 0.500 0.117 (multiplicity 4)
3 Mg 0.000 0.308 0.327 (multiplicity 8)
4 Pd 0.000 0.000 0.229 (multiplicity 4)
5 Pd 0.000 0.192 0.500 (multiplicity 4)

First-principles (GGA-PBE) data for a geometry-optimized SmMgPd2 structure, as listed in Alexandria.

ΔH_f (0 K) = -0.733 eV/atom
Mass density = 8.20 g/cm3
Fermi-level density of states = 1.375 states/eV per cell

a b c (Å): 3.414 3.414 6.732
angles (deg): 90.00 90.00 90.00
Space group P4/mmm (No. 123)
One atom of each set of equivalent atoms:
1 Sm 0.000 0.000 0.000 (multiplicity 1)
2 Mg 0.000 0.000 0.500 (multiplicity 1)
3 Pd 0.500 0.500 0.281 (multiplicity 2)

First-principles (GGA-PBE) data for a geometry-optimized SmMgPd structure, as listed in Alexandria.

ΔH_f (0 K) = -0.634 eV/atom
Mass density = 6.72 g/cm3
Fermi-level density of states = 14.257 states/eV per cell

a b c (Å): 13.538 4.031 7.632
angles (deg): 90.00 90.00 90.00
Space group Pmma (No. 51)
One atom of each set of equivalent atoms:
1 Sm 0.043 0.000 0.231 (multiplicity 4)
2 Sm 0.250 0.000 0.855 (multiplicity 2)
3 Mg 0.126 0.500 0.567 (multiplicity 4)
4 Mg 0.250 0.500 0.209 (multiplicity 2)
5 Pd 0.099 0.500 0.943 (multiplicity 4)
6 Pd 0.250 0.000 0.448 (multiplicity 2)

First-principles (GGA-PBE) data for a geometry-optimized Sm2Mg2Pd15 structure, as listed in Alexandria.

ΔH_f (0 K) = -0.462 eV/atom
Mass density = 9.68 g/cm3
Fermi-level density of states = 55.918 states/eV per cell

a b c (Å): 9.1152 9.1152 13.9195
angles (deg): 90.00 90.00 120.00
Space group R-3m (No. 166, hexagonal axes)
One atom of each set of equivalent atoms:
1 Sm 0.0000 0.0000 0.1494 (multiplicity 6)
2 Mg 0.0000 0.0000 0.3994 (multiplicity 6)
3 Pd 0.0000 0.3065 0.5000 (multiplicity 18)
4 Pd 0.0000 0.5000 0.0000 (multiplicity 9)
5 Pd 0.0027 0.5014 0.6541 (multiplicity 18)

First-principles (GGA-PBE) data for a geometry-optimized SmMg2SnPd4 structure, as listed in Alexandria.

ΔH_f (0 K) = -0.694 eV/atom
Mass density = 8.32 g/cm3
Fermi-level density of states = 6.301 states/eV per cell

a b c (Å): 4.7368 4.7368 22.8972
angles (deg): 90.00 90.00 120.00
Space group R-3m (No. 166, hexagonal axes)
One atom of each set of equivalent atoms:
1 Sm 0.0000 0.0000 0.0000 (multiplicity 3)
2 Mg 0.0000 0.0000 0.2486 (multiplicity 6)
3 Sn 0.0000 0.0000 0.5000 (multiplicity 3)
4 Pd 0.0000 0.0000 0.1292 (multiplicity 6)
5 Pd 0.0000 0.0000 0.3816 (multiplicity 6)

First-principles (GGA-PBE) data for a geometry-optimized SmMgSn2Pd4 structure, as listed in Alexandria.

ΔH_f (0 K) = -0.740 eV/atom
Mass density = 9.12 g/cm3
Fermi-level density of states = 8.148 states/eV per cell

a b c (Å): 4.6240 4.6240 24.7078
angles (deg): 90.00 90.00 120.00
Space group R-3m (No. 166, hexagonal axes)
One atom of each set of equivalent atoms:
1 Sm 0.0000 0.0000 0.0000 (multiplicity 3)
2 Mg 0.0000 0.0000 0.5000 (multiplicity 3)
3 Sn 0.0000 0.0000 0.2460 (multiplicity 6)
4 Pd 0.0000 0.0000 0.1303 (multiplicity 6)
5 Pd 0.0000 0.0000 0.3933 (multiplicity 6)

First-principles (GGA-PBE) data for a geometry-optimized Sm2MgSn3Pd4 structure, as listed in Alexandria.

ΔH_f (0 K) = -0.749 eV/atom
Mass density = 8.33 g/cm3
Fermi-level density of states = 6.461 states/eV per cell

a b c (Å): 4.509 4.509 10.851
angles (deg): 90.00 90.00 90.00
Space group P-4m2 (No. 115)
One atom of each set of equivalent atoms:
1 Sm 0.000 0.500 0.237 (multiplicity 2)
2 Mg 0.000 0.000 0.500 (multiplicity 1)
3 Sn 0.000 0.500 0.868 (multiplicity 2)
4 Sn 0.500 0.500 0.500 (multiplicity 1)
5 Pd 0.000 0.000 0.000 (multiplicity 1)
6 Pd 0.000 0.500 0.631 (multiplicity 2)
7 Pd 0.500 0.500 0.000 (multiplicity 1)

Which value of ΔH_f (0 K) does entry 4 give?
-0.634 eV/atom

What is the mass density in the eighth record?
8.33 g/cm3

Please write out number 7 again, unchanged.
First-principles (GGA-PBE) data for a geometry-optimized SmMgSn2Pd4 structure, as listed in Alexandria.

ΔH_f (0 K) = -0.740 eV/atom
Mass density = 9.12 g/cm3
Fermi-level density of states = 8.148 states/eV per cell

a b c (Å): 4.6240 4.6240 24.7078
angles (deg): 90.00 90.00 120.00
Space group R-3m (No. 166, hexagonal axes)
One atom of each set of equivalent atoms:
1 Sm 0.0000 0.0000 0.0000 (multiplicity 3)
2 Mg 0.0000 0.0000 0.5000 (multiplicity 3)
3 Sn 0.0000 0.0000 0.2460 (multiplicity 6)
4 Pd 0.0000 0.0000 0.1303 (multiplicity 6)
5 Pd 0.0000 0.0000 0.3933 (multiplicity 6)